VASP calculation (PBE-GGA) on crystalline AcCdGe at its relaxed geometry.

Cell: 5.2672 5.2672 5.2672 Å, 60.00 60.00 60.00°
Closest atoms and distances in Å follow each position.
Fractional positions:
Ac (0.0000, 0.0000, 0.0000)  4 Cd 3.23, 4 Ge 3.23
Cd (0.7500, 0.7500, 0.7500)  4 Ac 3.23
Ge (0.2500, 0.2500, 0.2500)  4 Ac 3.23

Calculated values
Total magnetic moment, μB/f.u.: 0.0
Volume, Å³/f.u.: 103.3
Energy, eV/atom: -3.222
Symmetry: F-43m (216)
Crystal system: cubic